[1]
Crystalline TlCr2Fe at its relaxed geometry. Source: Alexandria, functional GGA-PBE.

Calculated values
- Calculated formation energy: 0.613 eV per atom
- Size of the total moment: 2.016 Bohr magnetons per cell
- Space-group type: C2/m, No. 12
- Uncorrected energy: -6.905 eV/atom

a b c (Å): 4.6868 4.6868 4.7379
angles (deg): 102.55 102.55 36.25
Element x y z (fractional)
Tl 0.0000 0.0000 0.0000
Cr 0.2371 0.2371 0.6679
Cr 0.7629 0.7629 0.3321
Fe 0.5000 0.5000 0.5000


[2]
Crystalline TlCrFe at its relaxed geometry. Source: Alexandria, functional GGA-PBE.

Calculated values
- Calculated formation energy: 0.700 eV per atom
- Size of the total moment: 0.054 Bohr magnetons per cell
- Space-group type: P3m1, No. 156
- Uncorrected energy: -6.117 eV/atom

a b c (Å): 3.1252 3.1252 6.1764
angles (deg): 90.00 90.00 120.00
Element x y z (fractional)
Tl 0.0000 0.0000 0.0000
Cr 0.3333 0.6667 0.3920
Fe 0.6667 0.3333 0.6202


[3]
Crystalline TlCr2Fe at its relaxed geometry. Source: Alexandria, functional GGA-PBE.

Calculated values
- Calculated formation energy: 0.743 eV per atom
- Size of the total moment: 5.311 Bohr magnetons per cell
- Space-group type: Fm-3m, No. 225
- Uncorrected energy: -6.776 eV/atom

a b c (Å): 4.3628 4.3628 4.3628
angles (deg): 60.00 60.00 60.00
Element x y z (fractional)
Tl 0.0000 0.0000 0.0000
Cr 0.2500 0.2500 0.2500
Cr 0.7500 0.7500 0.7500
Fe 0.5000 0.5000 0.5000


Copy entry 1 word for word.
Crystalline TlCr2Fe at its relaxed geometry. Source: Alexandria, functional GGA-PBE.

Calculated values
- Calculated formation energy: 0.613 eV per atom
- Size of the total moment: 2.016 Bohr magnetons per cell
- Space-group type: C2/m, No. 12
- Uncorrected energy: -6.905 eV/atom

a b c (Å): 4.6868 4.6868 4.7379
angles (deg): 102.55 102.55 36.25
Element x y z (fractional)
Tl 0.0000 0.0000 0.0000
Cr 0.2371 0.2371 0.6679
Cr 0.7629 0.7629 0.3321
Fe 0.5000 0.5000 0.5000


Repeat the third record exactly.
Crystalline TlCr2Fe at its relaxed geometry. Source: Alexandria, functional GGA-PBE.

Calculated values
- Calculated formation energy: 0.743 eV per atom
- Size of the total moment: 5.311 Bohr magnetons per cell
- Space-group type: Fm-3m, No. 225
- Uncorrected energy: -6.776 eV/atom

a b c (Å): 4.3628 4.3628 4.3628
angles (deg): 60.00 60.00 60.00
Element x y z (fractional)
Tl 0.0000 0.0000 0.0000
Cr 0.2500 0.2500 0.2500
Cr 0.7500 0.7500 0.7500
Fe 0.5000 0.5000 0.5000


Q: Which formula does entry 1 have?
A: TlCr2Fe